# 1
Density functional theory data (GGA-PBE) for an optimized crystal structure of TcNi2P.

abc: 2.7543 2.7543 22.7265
angles: 90.00 90.00 120.00
Space group R3m (No. 160, hexagonal axes)
One atom of each set of equivalent atoms:
Tc1 0.0000 0.0000 0.0000 x3
Ni1 0.0000 0.0000 0.2414 x3
Ni2 0.0000 0.0000 0.4867 x3
P1 0.0000 0.0000 0.7471 x3

Summary:
Formation energy, meV/atom: -10.4
Raw total energy, eV per atom: -6.85
Calculated volume, Å³ per atom: 12.44
Total magnetization, μB per atom: 0.10

# 2
Density functional theory data (GGA-PBE) for an optimized crystal structure of KCd4Co.

abc: 8.306 8.306 8.306
angles: 90.00 90.00 90.00
Space group F-43m (No. 216)
One atom of each set of equivalent atoms:
K1 0.000 0.000 0.000 x4
Cd1 0.124 0.124 0.624 x16
Co1 0.250 0.250 0.250 x4

Summary:
Formation energy, meV/atom: 402.1
Raw total energy, eV per atom: -1.58
Calculated volume, Å³ per atom: 23.87
Total magnetization, μB per atom: 0.29

# 3
Density functional theory data (GGA-PBE) for an optimized crystal structure of BeGeAsSe2.

abc: 4.937 4.937 4.999
angles: 90.00 90.00 90.00
Space group P4/mmm (No. 123)
One atom of each set of equivalent atoms:
Be1 0.000 0.000 0.000 x1
Ge1 0.500 0.500 0.500 x1
As1 0.500 0.500 0.000 x1
Se1 0.000 0.500 0.500 x2

Summary:
Formation energy without anion corrections, eV per atom: 0.975
Raw total energy, eV per atom: -3.02
Calculated volume, Å³ per atom: 24.37
Offset from the most stable computed form, eV per atom: 0.641
Total magnetization, μB per atom: 0.00

# 4
Density functional theory data (GGA-PBE) for an optimized crystal structure of ReMoSe2.

abc: 3.036 4.947 10.026
angles: 90.00 90.00 90.00
Space group Cmm2 (No. 35)
One atom of each set of equivalent atoms:
Re1 0.000 0.000 0.000 x2
Mo1 0.000 0.500 0.783 x2
Se1 0.000 0.000 0.571 x2
Se2 0.000 0.500 0.210 x2

Summary:
Formation energy without anion corrections, eV per atom: 0.397
Raw total energy, eV per atom: -7.16
Calculated volume, Å³ per atom: 18.82
Offset from the most stable computed form, eV per atom: 0.474
Total magnetization, μB per atom: 0.00

# 5
Density functional theory data (GGA-PBE) for an optimized crystal structure of Nd2Hg3Pd4.

abc: 5.868 17.486 7.569
angles: 90.00 90.00 90.00
Space group Cmce (No. 64)
One atom of each set of equivalent atoms:
Nd1 0.000 0.108 0.082 x8
Hg1 0.000 0.000 0.500 x4
Hg2 0.250 0.237 0.750 x8
Pd1 0.000 0.160 0.474 x8
Pd2 0.250 0.075 0.750 x8

Summary:
Formation energy, meV/atom: -527.6
Raw total energy, eV per atom: -4.00
Calculated volume, Å³ per atom: 21.57
Offset from the most stable computed form, eV per atom: 0.016
Total magnetization, μB per atom: 0.00

# 6
Density functional theory data (GGA-PBE) for an optimized crystal structure of TlSnPb3.

abc: 6.097 6.876 7.828
angles: 90.00 105.20 90.00
Space group P2_1/m (No. 11)
One atom of each set of equivalent atoms:
Tl1 0.137 0.250 0.202 x2
Sn1 0.051 0.750 0.235 x2
Pb1 0.297 0.509 0.610 x4
Pb2 0.447 0.750 0.020 x2

Summary:
Formation energy, meV/atom: 58.4
Raw total energy, eV per atom: -3.44
Calculated volume, Å³ per atom: 31.67
Offset from the most stable computed form, eV per atom: 0.042
Total magnetization, μB per atom: 0.00

# 7
Density functional theory data (GGA-PBE) for an optimized crystal structure of KRb2CdP2.

abc: 7.695 15.372 6.869
angles: 90.00 90.00 90.00
Space group Ibam (No. 72)
One atom of each set of equivalent atoms:
K1 0.000 0.000 0.250 x4
Rb1 0.213 0.320 0.000 x8
Cd1 0.000 0.500 0.250 x4
P1 0.195 0.405 0.500 x8

Summary:
Formation energy, meV/atom: -199.7
Raw total energy, eV per atom: -2.66
Calculated volume, Å³ per atom: 33.85
Total magnetization, μB per atom: 0.15

# 8
Density functional theory data (GGA-PBE) for an optimized crystal structure of LiYSc3.

abc: 5.403 5.403 5.403
angles: 90.00 90.00 90.00
Space group Pm-3m (No. 221)
One atom of each set of equivalent atoms:
Li1 0.000 0.000 0.000 x1
Y1 0.500 0.500 0.500 x1
Sc1 0.000 0.500 0.500 x3

Summary:
Formation energy, meV/atom: 935.9
Raw total energy, eV per atom: -4.54
Calculated volume, Å³ per atom: 31.54
Offset from the most stable computed form, eV per atom: 0.520
Total magnetization, μB per atom: 0.00

# 9
Density functional theory data (GGA-PBE) for an optimized crystal structure of AlIn2W.

abc: 3.742 4.469 9.014
angles: 90.00 90.00 90.00
Space group Imm2 (No. 44)
One atom of each set of equivalent atoms:
Al1 0.000 0.000 0.000 x2
In1 0.000 0.000 0.520 x2
In2 0.000 0.500 0.758 x2
W1 0.000 0.500 0.279 x2

Summary:
Formation energy, meV/atom: 427.6
Raw total energy, eV per atom: -5.12
Calculated volume, Å³ per atom: 18.84
Total magnetization, μB per atom: 0.00

# 10
Density functional theory data (GGA-PBE) for an optimized crystal structure of SmGdTe2.

abc: 7.663 7.663 7.663
angles: 90.00 90.00 90.00
Space group Fm-3m (No. 225)
One atom of each set of equivalent atoms:
Sm1 0.000 0.000 0.000 x4
Gd1 0.000 0.000 0.500 x4
Te1 0.250 0.250 0.250 x8

Summary:
Formation energy without anion corrections, eV per atom: -1.276
Raw total energy, eV per atom: -7.55
Calculated volume, Å³ per atom: 28.12
Offset from the most stable computed form, eV per atom: 0.127
Total magnetization, μB per atom: 2.06

# 11
Density functional theory data (GGA-PBE) for an optimized crystal structure of Cs2K.

abc: 5.779 5.779 17.908
angles: 90.00 90.00 90.00
Space group I4/mmm (No. 139)
One atom of each set of equivalent atoms:
Cs1 0.000 0.000 0.155 x4
K1 0.000 0.000 0.500 x2

Summary:
Formation energy, meV/atom: 4.9
Raw total energy, eV per atom: -0.93
Calculated volume, Å³ per atom: 99.69
Offset from the most stable computed form, eV per atom: 0.000
Total magnetization, μB per atom: 0.00

# 12
Density functional theory data (GGA-PBE) for an optimized crystal structure of Cu7Ni4Ge.

abc: 4.433 5.107 6.418
angles: 102.52 97.12 90.56
Space group P-1 (No. 2)
One atom of each set of equivalent atoms:
Cu1 0.000 0.000 0.000 x1
Cu2 0.116 0.675 0.660 x2
Cu3 0.387 0.080 0.338 x2
Cu4 0.498 0.754 0.000 x2
Ni1 0.111 0.177 0.672 x2
Ni2 0.386 0.576 0.331 x2
Ge1 0.000 0.500 0.000 x1

Summary:
Formation energy, meV/atom: -15.6
Raw total energy, eV per atom: -4.72
Calculated volume, Å³ per atom: 11.72
Total magnetization, μB per atom: 0.00

# 13
Density functional theory data (GGA-PBE) for an optimized crystal structure of SrSeNO2.

abc: 4.072 4.072 3.880
angles: 90.00 90.00 90.00
Space group P4/mmm (No. 123)
One atom of each set of equivalent atoms:
Sr1 0.000 0.000 0.000 x1
Se1 0.500 0.500 0.500 x1
N1 0.500 0.500 0.000 x1
O1 0.000 0.500 0.500 x2

Summary:
Formation energy without anion corrections, eV per atom: -0.699
Raw total energy, eV per atom: -5.38
Calculated volume, Å³ per atom: 12.87
Total magnetization, μB per atom: 0.00

# 14
Density functional theory data (GGA-PBE) for an optimized crystal structure of LiEr2Au.

abc: 5.001 5.001 3.645
angles: 90.00 90.00 90.00
Space group P4/mmm (No. 123)
One atom of each set of equivalent atoms:
Li1 0.000 0.000 0.000 x1
Er1 0.000 0.500 0.500 x2
Au1 0.500 0.500 0.000 x1

Summary:
Formation energy, meV/atom: -430.2
Raw total energy, eV per atom: -4.01
Calculated volume, Å³ per atom: 22.79
Total magnetization, μB per atom: 0.00

# 15
Density functional theory data (GGA-PBE) for an optimized crystal structure of BeGePb2.

abc: 5.552 5.552 14.440
angles: 90.00 90.00 90.00
Space group I-42d (No. 122)
One atom of each set of equivalent atoms:
Be1 0.000 0.000 0.000 x4
Ge1 0.000 0.000 0.500 x4
Pb1 0.198 0.250 0.125 x8

Summary:
Formation energy, meV/atom: 527.5
Raw total energy, eV per atom: -3.41
Calculated volume, Å³ per atom: 27.82
Offset from the most stable computed form, eV per atom: 0.000
Total magnetization, μB per atom: 0.00

# 16
Density functional theory data (GGA-PBE) for an optimized crystal structure of InAgO2F.

abc: 4.162 4.162 4.191
angles: 90.00 90.00 90.00
Space group P4/mmm (No. 123)
One atom of each set of equivalent atoms:
In1 0.000 0.000 0.000 x1
Ag1 0.500 0.500 0.500 x1
O1 0.000 0.500 0.500 x2
F1 0.500 0.500 0.000 x1

Summary:
Formation energy without anion corrections, eV per atom: -0.384
Raw total energy, eV per atom: -3.86
Calculated volume, Å³ per atom: 14.52
Total magnetization, μB per atom: 0.00

# 17
Density functional theory data (GGA-PBE) for an optimized crystal structure of KSe.

abc: 9.916 9.916 9.916
angles: 90.00 90.00 90.00
Space group I-43m (No. 217)
One atom of each set of equivalent atoms:
K1 0.188 0.188 0.188 x8
Se1 0.124 0.124 0.876 x8

Summary:
Formation energy without anion corrections, eV per atom: -0.387
Raw total energy, eV per atom: -2.68
Calculated volume, Å³ per atom: 60.94
Total magnetization, μB per atom: 0.50

# 18
Density functional theory data (GGA-PBE) for an optimized crystal structure of AlCr2.

abc: 6.779 6.779 6.779
angles: 90.00 90.00 90.00
Space group Fd-3m (No. 227, origin choice 2)
One atom of each set of equivalent atoms:
Al1 0.125 0.125 0.125 x8
Cr1 0.000 0.000 0.500 x16

Summary:
Formation energy, meV/atom: 79.2
Raw total energy, eV per atom: -7.58
Calculated volume, Å³ per atom: 12.98
Total magnetization, μB per atom: 0.00

# 19
Density functional theory data (GGA-PBE) for an optimized crystal structure of HfMgSi2Au.

abc: 5.022 5.022 5.260
angles: 90.00 90.00 90.00
Space group P4/mmm (No. 123)
One atom of each set of equivalent atoms:
Hf1 0.000 0.000 0.000 x1
Mg1 0.500 0.500 0.500 x1
Si1 0.000 0.500 0.000 x2
Au1 0.000 0.000 0.500 x1

Summary:
Formation energy without anion corrections, eV per atom: 0.628
Raw total energy, eV per atom: -4.51
Calculated volume, Å³ per atom: 26.53
Total magnetization, μB per atom: 0.00

# 20
Density functional theory data (GGA-PBE) for an optimized crystal structure of PmSmHg4.

abc: 10.842 3.956 7.884
angles: 90.00 111.30 90.00
Space group C2/m (No. 12)
One atom of each set of equivalent atoms:
Pm1 0.000 0.000 0.000 x2
Sm1 0.000 0.000 0.500 x2
Hg1 0.169 0.500 0.336 x4
Hg2 0.169 0.500 0.833 x4

Summary:
Formation energy, meV/atom: -360.2
Raw total energy, eV per atom: -2.14
Calculated volume, Å³ per atom: 26.26
Offset from the most stable computed form, eV per atom: 0.000
Total magnetization, μB per atom: 0.06